Entry 1:
First-principles (PBE-GGA) data for a relaxed In3Sb crystal, as listed in Alexandria via LeMat-Bulk.

Values from the calculation:
E_form (uncorrected) (eV/atom): 0.028

a = 3.393 Å, b = 4.775 Å, c = 6.810 Å
α = 90.00°, β = 90.00°, γ = 90.00°
Positions (direct):
In  0.000  0.000  0.000
In  0.500  0.500  0.251
In  0.500  0.500  0.749
Sb  0.000  0.000  0.500

---

Entry 2:
First-principles (PBE-GGA) data for a relaxed InSb3 crystal, as listed in Alexandria via LeMat-Bulk.

Values from the calculation:
E above lowest polymorph (eV per atom): 0.218
E_form (uncorrected) (eV/atom): 0.208

a = 3.432 Å, b = 3.432 Å, c = 10.826 Å
α = 90.00°, β = 90.00°, γ = 120.00°
Positions (direct):
In  0.000  0.000  0.000
Sb  0.000  0.000  0.500
Sb  0.667  0.333  0.258
Sb  0.667  0.333  0.742

---

Entry 3:
First-principles (PBE-GGA) data for a relaxed InSb2 crystal, as listed in Alexandria via LeMat-Bulk.

Values from the calculation:
E_form (uncorrected) (eV/atom): 0.036

a = 7.206 Å, b = 7.206 Å, c = 6.146 Å
α = 90.00°, β = 90.00°, γ = 146.05°
Positions (direct):
In  0.167  0.833  0.750
In  0.833  0.167  0.250
Sb  0.164  0.836  0.250
Sb  0.494  0.506  0.750
Sb  0.506  0.494  0.250
Sb  0.836  0.164  0.750

---

Entry 4:
First-principles (PBE-GGA) data for a relaxed InSb crystal, as listed in Alexandria via LeMat-Bulk.

Values from the calculation:
E_form (uncorrected) (eV/atom): 0.151

a = 5.411 Å, b = 5.411 Å, c = 9.537 Å
α = 90.00°, β = 90.00°, γ = 120.00°
Positions (direct):
In  0.333  0.667  0.084
In  0.333  0.667  0.416
In  0.667  0.333  0.584
In  0.667  0.333  0.916
Sb  0.000  0.000  0.250
Sb  0.000  0.000  0.750
Sb  0.333  0.667  0.750
Sb  0.667  0.333  0.250

---

Entry 5:
First-principles (PBE-GGA) data for a relaxed Sc2InSb2 crystal, as listed in Alexandria via LeMat-Bulk.

Values from the calculation:
E above lowest polymorph (eV per atom): 0.000
E_form (uncorrected) (eV/atom): -0.566

a = 7.950 Å, b = 7.950 Å, c = 3.897 Å
α = 90.00°, β = 90.00°, γ = 90.00°
Positions (direct):
Sc  0.143  0.357  0.000
Sc  0.357  0.857  0.000
Sc  0.643  0.143  0.000
Sc  0.857  0.643  0.000
In  0.000  0.000  0.000
In  0.500  0.500  0.000
Sb  0.160  0.660  0.500
Sb  0.340  0.160  0.500
Sb  0.660  0.840  0.500
Sb  0.840  0.340  0.500

---

Entry 6:
First-principles (PBE-GGA) data for a relaxed ScIn2Sb crystal, as listed in Alexandria via LeMat-Bulk.

Values from the calculation:
E_form (uncorrected) (eV/atom): -0.226

a = 3.230 Å, b = 3.230 Å, c = 9.895 Å
α = 90.00°, β = 90.00°, γ = 90.00°
Positions (direct):
Sc  0.000  0.000  0.000
In  0.000  0.000  0.480
In  0.500  0.500  0.222
Sb  0.500  0.500  0.785

---

Entry 7:
First-principles (PBE-GGA) data for a relaxed ScIn2Sb crystal, as listed in Alexandria via LeMat-Bulk.

Values from the calculation:
E_form (uncorrected) (eV/atom): -0.113

a = 5.244 Å, b = 5.244 Å, c = 5.244 Å
α = 60.00°, β = 60.00°, γ = 60.00°
Positions (direct):
Sc  0.000  0.000  0.000
In  0.250  0.250  0.250
In  0.500  0.500  0.500
Sb  0.750  0.750  0.750

---

Entry 8:
First-principles (PBE-GGA) data for a relaxed ScIn3Sb crystal, as listed in Alexandria via LeMat-Bulk.

Values from the calculation:
E above lowest polymorph (eV per atom): 0.000
E_form (uncorrected) (eV/atom): 0.548

a = 5.577 Å, b = 5.577 Å, c = 5.577 Å
α = 90.00°, β = 90.00°, γ = 90.00°
Positions (direct):
Sc  0.000  0.000  0.000
In  0.000  0.000  0.500
In  0.000  0.500  0.000
In  0.500  0.000  0.000
Sb  0.500  0.500  0.500

---

Number 1: DOS(E_F) 1.1 states/eV per cell. Number 2: DOS(E_F) 2.3 states/eV per cell. Number 3: DOS(E_F) 3.3 states/eV per cell. Number 4: DOS(E_F) 4.0 states/eV per cell. Number 5: DOS(E_F) 7.6 states/eV per cell. Number 6: DOS(E_F) 2.6 states/eV per cell. Number 7: DOS(E_F) 2.4 states/eV per cell. Number 8: DOS(E_F) 4.3 states/eV per cell.